VASP calculation (SCAN) on a crystal of K2NaScCl6 relaxed with PBEsol.

## Properties
- space-group type = Fm-3m (225)
- raw formation energy (meV per atom) = -2250.9

Lattice parameters (Å, degrees): 7.2372 7.2372 7.2372 60.00 60.00 60.00
Closest atoms and distances in Å follow each position.
Positions (direct):
1 Sc 0.0000 0.0000 0.0000  6 Cl 2.46
2 Na 0.5000 0.5000 0.5000  6 Cl 2.66
3 K 0.7500 0.7500 0.7500  12 Cl 3.62
4 K 0.2500 0.2500 0.2500  12 Cl 3.62
5 Cl 0.7600 0.7600 0.2400  1 Sc 2.46, 1 Na 2.66
6 Cl 0.2400 0.7600 0.2400  1 Sc 2.46, 1 Na 2.66
7 Cl 0.2400 0.2400 0.7600  1 Sc 2.46, 1 Na 2.66
8 Cl 0.7600 0.2400 0.7600  1 Sc 2.46, 1 Na 2.66
9 Cl 0.7600 0.2400 0.2400  1 Sc 2.46, 1 Na 2.66
10 Cl 0.2400 0.7600 0.7600  1 Sc 2.46, 1 Na 2.66